# 1
PBE La6PmNd12, optimized geometry; energy = -4.642 eV/atom
1.0
-8.328 -4.690 0.882
5.535 -1.848 7.621
-1.682 9.436 -0.520
La Nd Pm
6 12 1
Direct
0.144 0.644 0.500
0.644 0.500 0.144
0.500 0.856 0.356
0.856 0.356 0.500
0.356 0.500 0.856
0.500 0.144 0.644
0.798 0.259 0.057
0.539 0.798 0.741
0.057 0.798 0.259
0.202 0.741 0.943
0.461 0.202 0.259
0.741 0.539 0.798
0.259 0.057 0.798
0.259 0.461 0.202
0.202 0.259 0.461
0.741 0.943 0.202
0.943 0.202 0.741
0.798 0.741 0.539
0.000 0.000 0.000

=====

# 2
PBE La12Pm7Nd, optimized geometry; energy = -4.617 eV/atom
1.0
-1.959 6.736 0.893
-9.263 -5.567 3.003
-2.525 0.292 10.924
Pm La Nd
7 12 1
Direct
0.922 0.144 0.694
0.222 0.838 0.856
0.078 0.856 0.306
0.616 0.694 0.162
0.384 0.306 0.838
0.778 0.162 0.144
0.500 0.000 0.000
0.708 0.783 0.787
0.504 0.213 0.571
0.253 0.453 0.477
0.270 0.523 0.930
0.292 0.217 0.213
0.747 0.547 0.523
0.925 0.429 0.783
0.800 0.070 0.453
0.496 0.787 0.429
0.075 0.571 0.217
0.730 0.477 0.070
0.200 0.930 0.547
0.000 0.000 0.000

=====

# 3
PBE LaPm2Nd3, optimized geometry; energy = -4.502 eV/atom
1.0
3.535 0.000 0.000
0.000 6.084 0.000
-1.768 -3.042 9.991
Pm Nd La
2 3 1
Direct
0.639 0.639 0.277
0.361 0.361 0.723
0.809 0.809 0.618
0.191 0.191 0.382
0.000 0.500 0.000
0.000 0.000 0.000

=====

Energy relative to the lowest polymorph listed for this composition list, top to bottom, in meV per atom: 159; 62; 182